# 1
# SmGa2Au5 PBE-GGA relaxed
# Size of the total moment = 0.000 μB/atom
# Formation enthalpy at 0 K = -0.4071 eV/atom
data_SmGa2Au5
_symmetry_space_group_name_H-M 'I m m m'
_symmetry_Int_Tables_number 71
_symmetry_space_group_name_Hall '-I 2 2'
_cell_length_a 3.996
_cell_length_b 7.418
_cell_length_c 10.850
_cell_angle_alpha 90.00
_cell_angle_beta 90.00
_cell_angle_gamma 90.00
loop_
_atom_site_label
_atom_site_type_symbol
_atom_site_fract_x
_atom_site_fract_y
_atom_site_fract_z
_atom_site_occupancy
Sm1 Sm 0.000 0.000 0.000 1
Ga1 Ga 0.000 0.500 0.243 1
Au1 Au 0.000 0.213 0.367 1
Au2 Au 0.000 0.500 0.000 1

# 2
# RbPrTl2F6 PBE-GGA relaxed
# E_form (uncorrected) = -2.862 eV per atom
# Size of the total moment = 0.000 μB/atom
data_RbPrTl2F6
_symmetry_space_group_name_H-M 'R 3'
_symmetry_Int_Tables_number 146
_symmetry_space_group_name_Hall 'R 3'
_cell_length_a 6.8817
_cell_length_b 6.8817
_cell_length_c 17.0151
_cell_angle_alpha 90.00
_cell_angle_beta 90.00
_cell_angle_gamma 120.00
loop_
_atom_site_label
_atom_site_type_symbol
_atom_site_fract_x
_atom_site_fract_y
_atom_site_fract_z
_atom_site_occupancy
Rb1 Rb 0.0000 0.0000 0.0000 1
Pr1 Pr 0.0000 0.0000 0.4920 1
Tl1 Tl 0.0000 0.0000 0.2716 1
Tl2 Tl 0.0000 0.0000 0.7734 1
F1 F 0.0111 0.6071 0.2218 1
F2 F 0.0869 0.4069 0.0666 1

# 3
# LaSi2Ge2 PBE-GGA relaxed
# ΔE to the lowest computed polymorph = 0.000 eV/atom
# E_form (uncorrected) = -0.172 eV per atom
# Size of the total moment = 0.000 μB/atom
data_LaSi2Ge2
_symmetry_space_group_name_H-M 'I 4/m m m'
_symmetry_Int_Tables_number 139
_symmetry_space_group_name_Hall '-I 4 2'
_cell_length_a 4.365
_cell_length_b 4.365
_cell_length_c 10.936
_cell_angle_alpha 90.00
_cell_angle_beta 90.00
_cell_angle_gamma 90.00
loop_
_atom_site_label
_atom_site_type_symbol
_atom_site_fract_x
_atom_site_fract_y
_atom_site_fract_z
_atom_site_occupancy
La1 La 0.000 0.000 0.000 1
Si1 Si 0.000 0.000 0.394 1
Ge1 Ge 0.000 0.500 0.250 1